*P*
# Rb2VPt, relaxed, DFT PBE
# Density in g/cm³: 3.49
data_Rb2VPt
_chemical_formula_sum 'Rb8 V4 Pt4'
_cell_length_a 12.7821
_cell_length_b 12.7821
_cell_length_c 4.8626
_cell_angle_alpha 90.00
_cell_angle_beta 90.00
_cell_angle_gamma 90.00
_space_group_name_H-M_alt 'I -4 2 d'
_space_group_IT_number 122
_space_group_name_Hall 'I -4 2bw'
loop_
_atom_site_label
_atom_site_type_symbol
_atom_site_fract_x
_atom_site_fract_y
_atom_site_fract_z
Rb1 Rb 0.0718 0.2500 0.1250
V1 V 0.0000 0.0000 0.5000
Pt1 Pt 0.0000 0.0000 0.0000



*Q*
# Rb2VPt, relaxed, DFT PBE
# Density in g/cm³: 5.36
data_Rb2VPt
_chemical_formula_sum 'Rb8 V4 Pt4'
_cell_length_a 8.0228
_cell_length_b 8.0228
_cell_length_c 8.0228
_cell_angle_alpha 90.00
_cell_angle_beta 90.00
_cell_angle_gamma 90.00
_space_group_name_H-M_alt 'F m -3 m'
_space_group_IT_number 225
_space_group_name_Hall '-F 4 2 3'
loop_
_atom_site_label
_atom_site_type_symbol
_atom_site_fract_x
_atom_site_fract_y
_atom_site_fract_z
Rb1 Rb 0.2500 0.2500 0.2500
V1 V 0.0000 0.0000 0.0000
Pt1 Pt 0.0000 0.0000 0.5000



The structure with the least stability is *Q*.



*P*
# Rb2PtW, relaxed, DFT PBE
# Density in g/cm³: 6.92
data_Rb2PtW
_chemical_formula_sum 'Rb8 Pt4 W4'
_cell_length_a 8.0815
_cell_length_b 8.0815
_cell_length_c 8.0815
_cell_angle_alpha 90.00
_cell_angle_beta 90.00
_cell_angle_gamma 90.00
_space_group_name_H-M_alt 'F m -3 m'
_space_group_IT_number 225
_space_group_name_Hall '-F 4 2 3'
loop_
_atom_site_label
_atom_site_type_symbol
_atom_site_fract_x
_atom_site_fract_y
_atom_site_fract_z
Rb1 Rb 0.2500 0.2500 0.2500
Pt1 Pt 0.0000 0.0000 0.0000
W1 W 0.0000 0.0000 0.5000



*Q*
# Rb2PtW, relaxed, DFT PBE
# Density in g/cm³: 4.55
data_Rb2PtW
_chemical_formula_sum 'Rb8 Pt4 W4'
_cell_length_a 12.8112
_cell_length_b 12.8112
_cell_length_c 4.8946
_cell_angle_alpha 90.00
_cell_angle_beta 90.00
_cell_angle_gamma 90.00
_space_group_name_H-M_alt 'I -4 2 d'
_space_group_IT_number 122
_space_group_name_Hall 'I -4 2bw'
loop_
_atom_site_label
_atom_site_type_symbol
_atom_site_fract_x
_atom_site_fract_y
_atom_site_fract_z
Rb1 Rb 0.0762 0.7500 0.1250
Pt1 Pt 0.0000 0.0000 0.0000
W1 W 0.0000 0.0000 0.5000



The structure with the least stability is *P*.



*P*
# Rb2YPt2, relaxed, DFT PBE
# Density in g/cm³: 7.04
data_Rb2YPt2
_chemical_formula_sum 'Rb4 Y2 Pt4'
_cell_length_a 5.6256
_cell_length_b 5.6256
_cell_length_c 9.6949
_cell_angle_alpha 90.00
_cell_angle_beta 90.00
_cell_angle_gamma 90.00
_space_group_name_H-M_alt 'I 4/m m m'
_space_group_IT_number 139
_space_group_name_Hall '-I 4 2'
loop_
_atom_site_label
_atom_site_type_symbol
_atom_site_fract_x
_atom_site_fract_y
_atom_site_fract_z
Rb1 Rb 0.0000 0.0000 0.1472
Y1 Y 0.0000 0.0000 0.5000
Pt1 Pt 0.0000 0.5000 0.2500



*Q*
# Rb2YPt2, relaxed, DFT PBE
# Density in g/cm³: 7.02
data_Rb2YPt2
_chemical_formula_sum 'Rb4 Y2 Pt4'
_cell_length_a 7.2975
_cell_length_b 7.2975
_cell_length_c 5.7779
_cell_angle_alpha 90.00
_cell_angle_beta 90.00
_cell_angle_gamma 90.00
_space_group_name_H-M_alt 'P 4/m b m'
_space_group_IT_number 127
_space_group_name_Hall '-P 4 2ab'
loop_
_atom_site_label
_atom_site_type_symbol
_atom_site_fract_x
_atom_site_fract_y
_atom_site_fract_z
Rb1 Rb 0.1664 0.3336 0.0000
Y1 Y 0.0000 0.0000 0.5000
Pt1 Pt 0.1288 0.6288 0.5000



The structure with the least stability is *P*.



*P*
# Rb2YPt, relaxed, DFT PBE
# Density in g/cm³: 5.52
data_Rb2YPt
_chemical_formula_sum 'Rb8 Y4 Pt4'
_cell_length_a 8.1795
_cell_length_b 8.1795
_cell_length_c 8.1795
_cell_angle_alpha 90.00
_cell_angle_beta 90.00
_cell_angle_gamma 90.00
_space_group_name_H-M_alt 'F m -3 m'
_space_group_IT_number 225
_space_group_name_Hall '-F 4 2 3'
loop_
_atom_site_label
_atom_site_type_symbol
_atom_site_fract_x
_atom_site_fract_y
_atom_site_fract_z
Rb1 Rb 0.2500 0.2500 0.2500
Y1 Y 0.0000 0.0000 0.0000
Pt1 Pt 0.0000 0.0000 0.5000



*Q*
# Rb2YPt, relaxed, DFT PBE
# Density in g/cm³: 3.61
data_Rb2YPt
_chemical_formula_sum 'Rb8 Y4 Pt4'
_cell_length_a 12.5398
_cell_length_b 12.5398
_cell_length_c 5.3267
_cell_angle_alpha 90.00
_cell_angle_beta 90.00
_cell_angle_gamma 90.00
_space_group_name_H-M_alt 'I -4 2 d'
_space_group_IT_number 122
_space_group_name_Hall 'I -4 2bw'
loop_
_atom_site_label
_atom_site_type_symbol
_atom_site_fract_x
_atom_site_fract_y
_atom_site_fract_z
Rb1 Rb 0.1080 0.2500 0.1250
Y1 Y 0.0000 0.0000 0.5000
Pt1 Pt 0.0000 0.0000 0.0000



The structure with the least stability is *P*.



*P*
# RbYPt2, relaxed, DFT PBE
# Density in g/cm³: 9.96
data_RbYPt2
_chemical_formula_sum 'Rb4 Y4 Pt8'
_cell_length_a 7.2206
_cell_length_b 7.2206
_cell_length_c 7.2206
_cell_angle_alpha 90.00
_cell_angle_beta 90.00
_cell_angle_gamma 90.00
_space_group_name_H-M_alt 'F m -3 m'
_space_group_IT_number 225
_space_group_name_Hall '-F 4 2 3'
loop_
_atom_site_label
_atom_site_type_symbol
_atom_site_fract_x
_atom_site_fract_y
_atom_site_fract_z
Rb1 Rb 0.0000 0.0000 0.0000
Y1 Y 0.0000 0.0000 0.5000
Pt1 Pt 0.2500 0.2500 0.2500



*Q*
# RbYPt2, relaxed, DFT PBE
# Density in g/cm³: 7.50
data_RbYPt2
_chemical_formula_sum 'Rb4 Y4 Pt8'
_cell_length_a 7.9730
_cell_length_b 7.9730
_cell_length_c 7.8702
_cell_angle_alpha 90.00
_cell_angle_beta 90.00
_cell_angle_gamma 90.00
_space_group_name_H-M_alt 'I -4 2 d'
_space_group_IT_number 122
_space_group_name_Hall 'I -4 2bw'
loop_
_atom_site_label
_atom_site_type_symbol
_atom_site_fract_x
_atom_site_fract_y
_atom_site_fract_z
Rb1 Rb 0.0000 0.0000 0.0000
Y1 Y 0.0000 0.0000 0.5000
Pt1 Pt 0.1924 0.2500 0.6250



The structure with the least stability is *Q*.



*P*
# RbY2Pt, relaxed, DFT PBE
# Density in g/cm³: 5.20
data_RbY2Pt
_chemical_formula_sum 'Rb4 Y8 Pt4'
_cell_length_a 8.9695
_cell_length_b 8.9695
_cell_length_c 7.2785
_cell_angle_alpha 90.00
_cell_angle_beta 90.00
_cell_angle_gamma 90.00
_space_group_name_H-M_alt 'I -4 2 d'
_space_group_IT_number 122
_space_group_name_Hall 'I -4 2bw'
loop_
_atom_site_label
_atom_site_type_symbol
_atom_site_fract_x
_atom_site_fract_y
_atom_site_fract_z
Rb1 Rb 0.0000 0.0000 0.0000
Y1 Y 0.1456 0.2500 0.6250
Pt1 Pt 0.0000 0.0000 0.5000



*Q*
# RbY2Pt, relaxed, DFT PBE
# Density in g/cm³: 7.31
data_RbY2Pt
_chemical_formula_sum 'Rb4 Y8 Pt4'
_cell_length_a 7.4695
_cell_length_b 7.4695
_cell_length_c 7.4695
_cell_angle_alpha 90.00
_cell_angle_beta 90.00
_cell_angle_gamma 90.00
_space_group_name_H-M_alt 'F m -3 m'
_space_group_IT_number 225
_space_group_name_Hall '-F 4 2 3'
loop_
_atom_site_label
_atom_site_type_symbol
_atom_site_fract_x
_atom_site_fract_y
_atom_site_fract_z
Rb1 Rb 0.0000 0.0000 0.0000
Y1 Y 0.2500 0.2500 0.2500
Pt1 Pt 0.0000 0.0000 0.5000



The structure with the least stability is *Q*.